Entry 1:
ScAl3W: relaxed, PBE.

* calculated formation energy: 1.775 eV per atom
* calculated volume: 115 Å³/cell
* total magnetization: 3.0 μB per formula unit

abc: 4.8672 4.8672 4.8672
angles: 90.00 90.00 90.00
Space group Pm-3m (No. 221)
Symmetry-distinct sites (fractional):
1 Sc 0.0000 0.0000 0.0000 [1 per cell]
2 Al 0.0000 0.0000 0.5000 [3 per cell]
3 W 0.5000 0.5000 0.5000 [1 per cell]

***

Entry 2:
ScAl4W: relaxed, PBE.

* calculated formation energy: -0.182 eV per atom
* calculated volume: 387 Å³/cell
* total magnetization: 0.0 μB per formula unit

abc: 7.2858 7.2858 7.2858
angles: 90.00 90.00 90.00
Space group F-43m (No. 216)
Symmetry-distinct sites (fractional):
1 Sc 0.0000 0.0000 0.0000 [4 per cell]
2 Al 0.1250 0.1250 0.3750 [16 per cell]
3 W 0.2500 0.2500 0.7500 [4 per cell]

***

Entry 3:
Sc2AlW: relaxed, PBE.

* calculated formation energy: 0.161 eV per atom
* calculated volume: 231 Å³/cell
* total magnetization: 0.1 μB per formula unit

abc: 2.9997 2.9997 29.6228
angles: 90.00 90.00 120.00
Space group R3m (No. 160, hexagonal axes)
Symmetry-distinct sites (fractional):
1 Sc 0.0000 0.0000 0.0000 [3 per cell]
2 Sc 0.0000 0.0000 0.2388 [3 per cell]
3 Al 0.0000 0.0000 0.4885 [3 per cell]
4 W 0.0000 0.0000 0.7486 [3 per cell]

***

Entry 4:
Sc2AlW: relaxed, PBE.

* calculated formation energy: 0.021 eV per atom
* calculated volume: 149 Å³/cell
* total magnetization: 0.0 μB per formula unit

abc: 4.1963 4.1963 8.4607
angles: 90.00 90.00 90.00
Space group I4/mmm (No. 139)
Symmetry-distinct sites (fractional):
1 Sc 0.0000 0.5000 0.2500 [4 per cell]
2 Al 0.0000 0.0000 0.0000 [2 per cell]
3 W 0.0000 0.0000 0.5000 [2 per cell]

***

Entry 5:
Sc2AlW: relaxed, PBE.

* calculated formation energy: -0.049 eV per atom
* calculated volume: 75 Å³/cell
* total magnetization: 0.0 μB per formula unit

abc: 2.8868 2.8868 9.0537
angles: 90.00 90.00 90.00
Space group P4/mmm (No. 123)
Symmetry-distinct sites (fractional):
1 Sc 0.0000 0.0000 0.2480 [2 per cell]
2 Al 0.5000 0.5000 0.5000 [1 per cell]
3 W 0.5000 0.5000 0.0000 [1 per cell]

***

Entry 6:
Sc2AlW: relaxed, PBE.

* calculated formation energy: 0.046 eV per atom
* calculated volume: 78 Å³/cell
* total magnetization: 0.8 μB per formula unit

abc: 3.1944 3.6435 6.6813
angles: 90.00 90.00 90.00
Space group Pmm2 (No. 25)
Symmetry-distinct sites (fractional):
1 Sc 0.0000 0.0000 0.0000 [1 per cell]
2 Sc 0.5000 0.5000 0.3252 [1 per cell]
3 Al 0.5000 0.5000 0.7556 [1 per cell]
4 W 0.0000 0.0000 0.5714 [1 per cell]